# 1
Below is a relaxed Ni2BrCl crystal, with properties calculated at the GGA-PBE level.

M_tot: 1.11 μB/cell
E: -0.1301 Ha/atom
E_form (uncorrected): 0.232 eV per atom

Lattice parameters (Å, degrees): 4.854 4.851 4.774 60.57 60.50 58.93
Fractional positions:
Ni 0.000 0.000 0.500
Ni 0.500 0.500 0.000
Br 0.000 0.000 0.000
Cl 0.500 0.500 0.500

---

# 2
Below is a relaxed Ni3BrCl7 crystal, with properties calculated at the GGA-PBE level.

M_tot: 4.03 μB/cell
E: -0.1234 Ha/atom
E_form (uncorrected): -0.454 eV per atom

Lattice parameters (Å, degrees): 6.967 6.967 8.020 122.12 122.12 60.00
Fractional positions:
Ni 0.000 0.000 0.000
Ni 0.000 0.504 0.000
Ni 0.504 0.000 0.000
Br 0.272 0.272 0.255
Cl 0.220 0.758 0.191
Cl 0.245 0.245 0.812
Cl 0.245 0.783 0.812
Cl 0.741 0.741 0.769
Cl 0.758 0.220 0.191
Cl 0.759 0.759 0.190
Cl 0.783 0.245 0.812

---

# 3
Below is a relaxed Ni2BrCl crystal, with properties calculated at the GGA-PBE level.

M_tot: 2.00 μB/cell
E: -0.1318 Ha/atom
E_form (uncorrected): 0.183 eV per atom

Lattice parameters (Å, degrees): 3.637 3.637 6.188 107.08 107.08 60.04
Fractional positions:
Ni 0.246 0.246 0.235
Ni 0.754 0.754 0.765
Br 0.000 0.000 0.500
Cl 0.500 0.500 0.000

---

# 4
Below is a relaxed NiBr2Cl crystal, with properties calculated at the GGA-PBE level.

M_tot: 1.34 μB/cell
E: -0.0875 Ha/atom
E_form (uncorrected): 0.362 eV per atom

Lattice parameters (Å, degrees): 6.162 6.162 4.675 101.28 101.28 133.13
Fractional positions:
Ni 0.000 0.000 0.000
Br 0.000 0.500 0.500
Br 0.500 0.000 0.500
Cl 0.500 0.500 0.000

---

# 5
Below is a relaxed Ni2BrCl crystal, with properties calculated at the GGA-PBE level.

M_tot: 1.93 μB/cell
E: -0.1344 Ha/atom
E_form (uncorrected): 0.113 eV per atom

Lattice parameters (Å, degrees): 7.583 7.583 7.583 155.12 153.97 36.32
Fractional positions:
Ni 0.000 0.000 0.000
Ni 0.865 0.365 0.500
Br 0.558 0.558 0.000
Cl 0.321 0.821 0.500

---

# 6
Below is a relaxed Ni2BrCl crystal, with properties calculated at the GGA-PBE level.

M_tot: 1.15 μB/cell
E: -0.1383 Ha/atom
E_form (uncorrected): 0.008 eV per atom

Lattice parameters (Å, degrees): 3.988 3.988 7.229 90.00 90.00 123.39
Fractional positions:
Ni 0.000 0.000 0.000
Ni 0.500 0.500 0.183
Br 0.500 0.500 0.813
Cl 0.000 0.000 0.335

---

# 7
Below is a relaxed Ni2BrCl crystal, with properties calculated at the GGA-PBE level.

M_tot: 0.19 μB/cell
E: -0.1439 Ha/atom
E_form (uncorrected): -0.144 eV per atom

Lattice parameters (Å, degrees): 7.512 7.512 7.512 27.28 27.28 27.28
Fractional positions:
Ni 0.000 0.000 0.000
Ni 0.271 0.271 0.271
Br 0.548 0.548 0.548
Cl 0.715 0.715 0.715

---

# 8
Below is a relaxed NiBr4Cl crystal, with properties calculated at the GGA-PBE level.

M_tot: 1.17 μB/cell
E: -0.0540 Ha/atom
E_form (uncorrected): 0.917 eV per atom

Lattice parameters (Å, degrees): 6.068 6.068 6.068 60.00 60.00 60.00
Fractional positions:
Ni 0.000 0.000 0.000
Br 0.125 0.625 0.625
Br 0.625 0.125 0.625
Br 0.625 0.625 0.125
Br 0.625 0.625 0.625
Cl 0.250 0.250 0.250

---

# 9
Below is a relaxed NiOsBr2Cl crystal, with properties calculated at the GGA-PBE level.

M_tot: 4.58 μB/cell
E: -0.1244 Ha/atom
E_form (uncorrected): 1.054 eV per atom

Lattice parameters (Å, degrees): 4.749 4.749 5.068 90.00 90.00 90.00
Fractional positions:
Ni 0.000 0.000 0.000
Os 0.000 0.000 0.500
Br 0.000 0.500 0.000
Br 0.500 0.000 0.000
Cl 0.500 0.500 0.500

---

# 10
Below is a relaxed NiPBrCl2 crystal, with properties calculated at the GGA-PBE level.

M_tot: 0.00 μB/cell
E: -0.1136 Ha/atom
E_form (uncorrected): 0.221 eV per atom

Lattice parameters (Å, degrees): 4.508 4.508 4.697 90.00 90.00 90.00
Fractional positions:
Ni 0.000 0.000 0.000
P 0.000 0.000 0.500
Br 0.500 0.500 0.500
Cl 0.000 0.500 0.000
Cl 0.500 0.000 0.000

---

# 11
Below is a relaxed Pm6Ni2Br3Cl crystal, with properties calculated at the GGA-PBE level.

M_tot: 0.00 μB/cell
E: -0.1801 Ha/atom
E_form (uncorrected): -0.988 eV per atom

Lattice parameters (Å, degrees): 7.192 7.192 7.750 98.85 98.85 119.93
Fractional positions:
Pm 0.070 0.433 0.801
Pm 0.203 0.203 0.196
Pm 0.433 0.070 0.801
Pm 0.567 0.930 0.199
Pm 0.797 0.797 0.804
Pm 0.930 0.567 0.199
Ni 0.167 0.833 0.000
Ni 0.833 0.167 0.000
Br 0.000 0.000 0.500
Br 0.341 0.659 0.500
Br 0.659 0.341 0.500
Cl 0.500 0.500 0.000

---

# 12
Below is a relaxed Pr4NiBr2Cl crystal, with properties calculated at the GGA-PBE level.

M_tot: 0.00 μB/cell
E: -0.1763 Ha/atom
E_form (uncorrected): -1.037 eV per atom

Lattice parameters (Å, degrees): 7.105 4.042 8.097 90.00 107.77 90.00
Fractional positions:
Pr 0.221 0.000 0.203
Pr 0.262 0.500 0.790
Pr 0.738 0.500 0.210
Pr 0.779 0.000 0.797
Ni 0.000 0.500 0.000
Br 0.000 0.000 0.500
Br 0.500 0.500 0.500
Cl 0.500 0.000 0.000